<w>
A geometry-optimized Sr2PtW structure, computed with GGA-PBEsol.

Computed properties:
- mass density (g/cm³) = 10.20
- SG = I4/mmm (139)
- M_tot (μB/atom) = 0.48
- calculated volume (A^3/atom) = 22.54

Unit cell a=5.6777 b=5.6777 c=5.6777 alpha=134.99 beta=134.99 gamma=65.54
Element x y z (fractional)
Sr  0.2500  0.7500  0.5000
Sr  0.7500  0.2500  0.5000
Pt  0.0000  0.0000  0.0000
W  0.5000  0.5000  0.0000

=====

<x>
A geometry-optimized Sr2PtW structure, computed with GGA-PBEsol.

Computed properties:
- mass density (g/cm³) = 9.40
- SG = P4/mmm (123)
- M_tot (μB/atom) = 0.75
- calculated volume (A^3/atom) = 24.48

Unit cell a=4.9930 b=4.9930 c=3.9274 alpha=90.00 beta=90.00 gamma=90.00
Element x y z (fractional)
Sr  0.0000  0.5000  0.0000
Sr  0.5000  0.0000  0.0000
Pt  0.0000  0.0000  0.5000
W  0.5000  0.5000  0.5000

=====

<y>
A geometry-optimized Sr2PtW structure, computed with GGA-PBEsol.

Computed properties:
- mass density (g/cm³) = 8.71
- SG = P4mm (99)
- M_tot (μB/atom) = 0.00
- calculated volume (A^3/atom) = 26.41

Unit cell a=3.3290 b=3.3290 c=9.5314 alpha=90.00 beta=90.00 gamma=90.00
Element x y z (fractional)
Sr  0.0000  0.0000  0.0000
Sr  0.5000  0.5000  0.3930
Pt  0.5000  0.5000  0.7642
W  0.0000  0.0000  0.6404

=====

Energetically preferred structure: <y> | next structure: +47.3 kJ/mol of atoms